Entry from the Alexandria database: LaReHg2 after structural relaxation (PBEsol).

Calculated values
distance to the lowest polymorph of the same formula = 174 meV per atom
E = -17.9 eV/f.u.
ΔE_f = 0.485 eV per atom
density of states at the Fermi level = 1.024 states/eV/atom

Geometry as CIF:
```
data_LaReHg2
_chemical_formula_sum 'La2 Re2 Hg4'
_cell_length_a 4.386
_cell_length_b 4.386
_cell_length_c 8.987
_cell_angle_alpha 90.00
_cell_angle_beta 90.00
_cell_angle_gamma 90.00
_symmetry_space_group_name_H-M 'I -4 m 2'
_symmetry_Int_Tables_number 119
_symmetry_space_group_name_Hall 'I -4 -2'
loop_
_atom_site_label
_atom_site_type_symbol
_atom_site_fract_x
_atom_site_fract_y
_atom_site_fract_z
_atom_site_occupancy
La1 La 0.000 0.000 0.000 1
Re1 Re 0.000 0.500 0.250 1
Hg1 Hg 0.000 0.000 0.500 1
Hg2 Hg 0.000 0.500 0.750 1
```